Arrangement w

This record from Alexandria via LeMat-Bulk describes a relaxed CaZrV2 crystal. The functional is PBE.

ρ ... 4.042 g/cm3
Space-group type ... No. 122
D(E_F) ... 11.82 states/eV per cell

```
CaZrV2
1.0
4.4694 0.0000 0.0000
0.0000 4.4694 0.0000
2.2347 2.2347 9.5911
Ca Zr V
2 2 4
direct
0.5000 0.5000 0.0000 Ca
0.2500 0.7500 0.5000 Ca
0.0000 0.0000 0.0000 Zr
0.7500 0.2500 0.5000 Zr
0.7991 0.1250 0.2500 V
0.9509 0.6250 0.2500 V
0.3750 0.2009 0.7500 V
0.8750 0.0491 0.7500 V
```


Arrangement x

This record from Alexandria via LeMat-Bulk describes a relaxed CaZrV2 crystal. The functional is PBE.

ρ ... 4.539 g/cm3
Space-group type ... No. 225
D(E_F) ... 6.95 states/eV per cell

```
CaZrV2
1.0
-0.3628 -4.3189 -2.3734
-4.2641 -2.4965 0.0508
-2.7147 -0.3374 -4.1151
Ca Zr V
1 1 2
direct
0.0000 0.0000 0.0000 Ca
0.5000 0.5000 0.5000 Zr
0.2500 0.2500 0.2500 V
0.7500 0.7500 0.7500 V
```


Which is most stable? The ranking, best first, is arrangement x, arrangement w.